A plane-wave DFT calculation with GGA-PBE was carried out for crystalline PPbCl3 at its relaxed geometry.

```
data_PPbCl3
_chemical_formula_sum 'P1 Pb1 Cl3'
_cell_length_a 5.000
_cell_length_b 5.000
_cell_length_c 5.000
_cell_angle_alpha 90.00
_cell_angle_beta 90.00
_cell_angle_gamma 90.00
_symmetry_space_group_name_H-M 'P m -3 m'
_symmetry_Int_Tables_number 221
_symmetry_space_group_name_Hall '-P 4 2 3'
loop_
_atom_site_label
_atom_site_fract_x
_atom_site_fract_y
_atom_site_fract_z
_atom_site_occupancy
P1 0.000 0.000 0.000 1
Pb1 0.500 0.500 0.500 1
Cl1 0.000 0.000 0.500 1
```

Values from the calculation:
Polymorph energy (0 for the lowest one)   0.0 meV/atom
E   -3.048 eV/atom